# MgTaAl2

A relaxed MgTaAl2 crystal (PBE-GGA, Alexandria via LeMat-Bulk).

Computed properties:
Crystal system: tetragonal
Fermi-level density of states in states/eV per atom: 0.763
Calculated total energy in eV per atom: -5.293
Space group: No. 139

Geometry as CIF:
```
data_MgTaAl2
_cell_length_a 5.129
_cell_length_b 5.129
_cell_length_c 5.129
_cell_angle_alpha 134.24
_cell_angle_beta 134.22
_cell_angle_gamma 66.73
_space_group_name_H-M_alt 'P 1'
_space_group_IT_number 1
loop_
_space_group_symop_operation_xyz
'x,y,z'
loop_
_atom_site_label
_atom_site_fract_x
_atom_site_fract_y
_atom_site_fract_z
Ta1 0.250 0.750 0.500
Al1 0.000 0.000 0.000
Al2 0.500 0.500 0.000
Mg1 0.750 0.250 0.500
```



# Pr3Tm4Cd

A relaxed Pr3Tm4Cd crystal (PBE-GGA, Alexandria via LeMat-Bulk).

Computed properties:
Crystal system: orthorhombic
Fermi-level density of states in states/eV per atom: 1.201
Offset from the most stable computed form in meV per atom: 17
Space group: No. 31

Geometry as CIF:
```
data_Pr3Tm4Cd
_cell_length_a 6.199
_cell_length_b 7.125
_cell_length_c 11.282
_cell_angle_alpha 90.00
_cell_angle_beta 90.00
_cell_angle_gamma 90.00
_space_group_name_H-M_alt 'P 1'
_space_group_IT_number 1
loop_
_space_group_symop_operation_xyz
'x,y,z'
loop_
_atom_site_label
_atom_site_fract_x
_atom_site_fract_y
_atom_site_fract_z
Pr1 0.483 0.383 0.732
Pr2 0.483 0.383 0.268
Tm1 0.984 0.121 0.757
Tm2 0.984 0.121 0.243
Tm3 0.161 0.896 0.000
Pr3 0.121 0.370 0.500
Tm4 0.484 0.879 0.257
Pr4 0.621 0.630 0.000
Cd1 0.654 0.647 0.500
Cd2 0.154 0.353 0.000
Tm5 0.484 0.879 0.743
Tm6 0.145 0.871 0.500
Tm7 0.645 0.129 0.000
Pr5 0.983 0.617 0.232
Pr6 0.983 0.617 0.768
Tm8 0.661 0.104 0.500
```



# Tm5AgIr2

A relaxed Tm5AgIr2 crystal (PBE-GGA, Alexandria via LeMat-Bulk).

Computed properties:
Crystal system: tetragonal
Fermi-level density of states in states/eV per atom: 0.821
Calculated total energy in eV per atom: -6.052
Space group: No. 140

Geometry as CIF:
```
data_Tm5AgIr2
_cell_length_a 7.632
_cell_length_b 7.632
_cell_length_c 8.520
_cell_angle_alpha 116.61
_cell_angle_beta 116.61
_cell_angle_gamma 90.00
_space_group_name_H-M_alt 'P 1'
_space_group_IT_number 1
loop_
_space_group_symop_operation_xyz
'x,y,z'
loop_
_atom_site_label
_atom_site_fract_x
_atom_site_fract_y
_atom_site_fract_z
Ir1 0.642 0.142 0.000
Tm1 0.000 0.000 0.000
Tm2 0.477 0.294 0.272
Tm3 0.794 0.977 0.272
Ir2 0.358 0.858 0.000
Tm4 0.500 0.500 0.000
Ag1 0.250 0.250 0.500
Tm5 0.977 0.477 0.272
Ag2 0.750 0.750 0.500
Tm6 0.206 0.023 0.728
Tm7 0.523 0.706 0.728
Ir3 0.858 0.642 0.000
Ir4 0.142 0.358 0.000
Tm8 0.294 0.794 0.272
Tm9 0.023 0.523 0.728
Tm10 0.706 0.206 0.728
```



# Ga2AgBr

A relaxed Ga2AgBr crystal (PBE-GGA, Alexandria via LeMat-Bulk).

Computed properties:
ΔE_f (raw) in meV per atom: 26
Crystal system: tetragonal
Fermi-level density of states in states/eV per atom: 0.068
Offset from the most stable computed form in meV per atom: 0
Space group: No. 122

Geometry as CIF:
```
data_Ga2AgBr
_cell_length_a 6.415
_cell_length_b 6.415
_cell_length_c 7.662
_cell_angle_alpha 65.25
_cell_angle_beta 65.25
_cell_angle_gamma 90.00
_space_group_name_H-M_alt 'P 1'
_space_group_IT_number 1
loop_
_space_group_symop_operation_xyz
'x,y,z'
loop_
_atom_site_label
_atom_site_fract_x
_atom_site_fract_y
_atom_site_fract_z
Ag1 0.750 0.250 0.500
Ag2 0.000 0.000 0.000
Ga1 0.375 0.329 0.750
Ga2 0.079 0.625 0.250
Ga3 0.671 0.125 0.250
Br1 0.250 0.750 0.500
Br2 0.500 0.500 0.000
Ga4 0.875 0.921 0.750
```



# PaInPb2O6

A relaxed PaInPb2O6 crystal (PBE-GGA, Alexandria via LeMat-Bulk).

Computed properties:
ΔE_f (raw) in meV per atom: -2005
Crystal system: tetragonal
Space group: No. 99

Geometry as CIF:
```
data_PaInPb2O6
_cell_length_a 4.428
_cell_length_b 6.086
_cell_length_c 6.086
_cell_angle_alpha 90.00
_cell_angle_beta 90.00
_cell_angle_gamma 90.00
_space_group_name_H-M_alt 'P 1'
_space_group_IT_number 1
loop_
_space_group_symop_operation_xyz
'x,y,z'
loop_
_atom_site_label
_atom_site_fract_x
_atom_site_fract_y
_atom_site_fract_z
O1 0.152 0.000 0.000
Pb1 0.039 0.500 0.000
O2 0.700 0.748 0.252
O3 0.700 0.252 0.252
In1 0.631 0.000 0.000
Pa1 0.638 0.500 0.500
O4 0.149 0.500 0.500
Pb2 0.039 0.000 0.500
O5 0.700 0.748 0.748
O6 0.700 0.252 0.748
```



# BaAlRu2

A relaxed BaAlRu2 crystal (PBE-GGA, Alexandria via LeMat-Bulk).

Computed properties:
Crystal system: monoclinic
Fermi-level density of states in states/eV per atom: 1.148
Calculated total energy in eV per atom: -5.312
Space group: No. 12

Geometry as CIF:
```
data_BaAlRu2
_cell_length_a 5.584
_cell_length_b 5.473
_cell_length_c 3.063
_cell_angle_alpha 74.54
_cell_angle_beta 88.51
_cell_angle_gamma 120.19
_space_group_name_H-M_alt 'P 1'
_space_group_IT_number 1
loop_
_space_group_symop_operation_xyz
'x,y,z'
loop_
_atom_site_label
_atom_site_fract_x
_atom_site_fract_y
_atom_site_fract_z
Ru1 0.000 0.000 0.000
Ru2 0.500 0.000 0.500
Al1 0.000 0.500 0.500
Ba1 0.500 0.500 0.000
```



# FeSi3Hg

A relaxed FeSi3Hg crystal (PBE-GGA, Alexandria via LeMat-Bulk).

Computed properties:
ΔE_f (raw) in meV per atom: 321
Crystal system: cubic
Fermi-level density of states in states/eV per atom: 0.866
Offset from the most stable computed form in meV per atom: 0
Space group: No. 221

Geometry as CIF:
```
data_FeSi3Hg
_cell_length_a 4.453
_cell_length_b 4.453
_cell_length_c 4.453
_cell_angle_alpha 90.00
_cell_angle_beta 90.00
_cell_angle_gamma 90.00
_space_group_name_H-M_alt 'P 1'
_space_group_IT_number 1
loop_
_space_group_symop_operation_xyz
'x,y,z'
loop_
_atom_site_label
_atom_site_fract_x
_atom_site_fract_y
_atom_site_fract_z
Hg1 0.500 0.500 0.500
Fe1 0.000 0.000 0.000
Si1 0.000 0.500 0.000
Si2 0.500 0.000 0.000
Si3 0.000 0.000 0.500
```



# La2PAu2

A relaxed La2PAu2 crystal (PBE-GGA, Alexandria via LeMat-Bulk).

Computed properties:
Crystal system: tetragonal
Fermi-level density of states in states/eV per atom: 1.017
Offset from the most stable computed form in meV per atom: 213
Space group: No. 139

Geometry as CIF:
```
data_La2PAu2
_cell_length_a 5.866
_cell_length_b 5.866
_cell_length_c 5.707
_cell_angle_alpha 59.07
_cell_angle_beta 59.07
_cell_angle_gamma 90.00
_space_group_name_H-M_alt 'P 1'
_space_group_IT_number 1
loop_
_space_group_symop_operation_xyz
'x,y,z'
loop_
_atom_site_label
_atom_site_fract_x
_atom_site_fract_y
_atom_site_fract_z
Au1 0.335 0.335 0.330
La1 0.250 0.750 0.500
P1 0.000 0.000 0.000
La2 0.750 0.250 0.500
Au2 0.665 0.665 0.670
```



# In3Hg2Cl2

A relaxed In3Hg2Cl2 crystal (PBE-GGA, Alexandria via LeMat-Bulk).

Computed properties:
ΔE_f (raw) in meV per atom: -374
Crystal system: monoclinic
Fermi-level density of states in states/eV per atom: 0.279
Space group: No. 12

Geometry as CIF:
```
data_In3Hg2Cl2
_cell_length_a 3.767
_cell_length_b 8.851
_cell_length_c 8.059
_cell_angle_alpha 122.89
_cell_angle_beta 103.52
_cell_angle_gamma 90.00
_space_group_name_H-M_alt 'P 1'
_space_group_IT_number 1
loop_
_space_group_symop_operation_xyz
'x,y,z'
loop_
_atom_site_label
_atom_site_fract_x
_atom_site_fract_y
_atom_site_fract_z
Cl1 0.867 0.194 0.734
Cl2 0.133 0.806 0.266
Hg1 0.604 0.346 0.209
Hg2 0.396 0.654 0.791
In1 0.000 0.000 0.000
In2 0.745 0.754 0.490
In3 0.255 0.246 0.510
```



# Ti3CuF

A relaxed Ti3CuF crystal (PBE-GGA, Alexandria via LeMat-Bulk).

Computed properties:
ΔE_f (raw) in meV per atom: -467
Crystal system: cubic
Fermi-level density of states in states/eV per atom: 0.939
Offset from the most stable computed form in meV per atom: 0
Space group: No. 221

Geometry as CIF:
```
data_Ti3CuF
_cell_length_a 4.143
_cell_length_b 4.143
_cell_length_c 4.143
_cell_angle_alpha 90.00
_cell_angle_beta 90.00
_cell_angle_gamma 90.00
_space_group_name_H-M_alt 'P 1'
_space_group_IT_number 1
loop_
_space_group_symop_operation_xyz
'x,y,z'
loop_
_atom_site_label
_atom_site_fract_x
_atom_site_fract_y
_atom_site_fract_z
F1 0.000 0.000 0.000
Cu1 0.500 0.500 0.500
Ti1 0.000 0.500 0.000
Ti2 0.500 0.000 0.000
Ti3 0.000 0.000 0.500
```



# La2Pm4PrEr

A relaxed La2Pm4PrEr crystal (PBE-GGA, Alexandria via LeMat-Bulk).

Computed properties:
Crystal system: monoclinic
Fermi-level density of states in states/eV per atom: 2.445
Calculated total energy in eV per atom: -4.416
Space group: No. 15

Geometry as CIF:
```
data_La2Pm4PrEr
_cell_length_a 9.675
_cell_length_b 9.675
_cell_length_c 12.022
_cell_angle_alpha 128.25
_cell_angle_beta 128.25
_cell_angle_gamma 88.64
_space_group_name_H-M_alt 'P 1'
_space_group_IT_number 1
loop_
_space_group_symop_operation_xyz
'x,y,z'
loop_
_atom_site_label
_atom_site_fract_x
_atom_site_fract_y
_atom_site_fract_z
La1 0.500 0.000 0.000
La2 0.500 0.000 0.500
Er1 0.500 0.500 0.500
Pm1 0.744 0.257 0.500
Pm2 0.243 0.756 0.000
La3 0.000 0.000 0.500
Er2 0.000 0.000 0.000
Pr1 0.000 0.500 0.500
Pm3 0.773 0.774 0.529
Pm4 0.757 0.244 0.000
Pr2 0.000 0.500 0.000
Pm5 0.726 0.727 0.971
Pm6 0.274 0.273 0.029
Pm7 0.227 0.226 0.471
La4 0.500 0.500 0.000
Pm8 0.256 0.743 0.500
```



# VCo3Pb

A relaxed VCo3Pb crystal (PBE-GGA, Alexandria via LeMat-Bulk).

Computed properties:
Crystal system: cubic
Fermi-level density of states in states/eV per atom: 1.244
Offset from the most stable computed form in meV per atom: 0
Space group: No. 221

Geometry as CIF:
```
data_VCo3Pb
_cell_length_a 4.334
_cell_length_b 4.334
_cell_length_c 4.334
_cell_angle_alpha 90.00
_cell_angle_beta 90.00
_cell_angle_gamma 90.00
_space_group_name_H-M_alt 'P 1'
_space_group_IT_number 1
loop_
_space_group_symop_operation_xyz
'x,y,z'
loop_
_atom_site_label
_atom_site_fract_x
_atom_site_fract_y
_atom_site_fract_z
V1 0.000 0.000 0.000
Co1 0.000 0.000 0.500
Co2 0.500 0.000 0.000
Pb1 0.500 0.500 0.500
Co3 0.000 0.500 0.000
```



# Cs2ZnBiI6

A relaxed Cs2ZnBiI6 crystal (PBE-GGA, Alexandria via LeMat-Bulk).

Computed properties:
ΔE_f (raw) in meV per atom: -852
Crystal system: tetragonal
Fermi-level density of states in states/eV per atom: 0.298
Space group: No. 139

Geometry as CIF:
```
data_Cs2ZnBiI6
_cell_length_a 8.657
_cell_length_b 8.657
_cell_length_c 8.591
_cell_angle_alpha 59.75
_cell_angle_beta 59.75
_cell_angle_gamma 90.00
_space_group_name_H-M_alt 'P 1'
_space_group_IT_number 1
loop_
_space_group_symop_operation_xyz
'x,y,z'
loop_
_atom_site_label
_atom_site_fract_x
_atom_site_fract_y
_atom_site_fract_z
I1 0.739 0.739 0.522
I2 0.745 0.745 0.000
I3 0.745 0.255 0.000
I4 0.255 0.745 0.000
Cs1 0.750 0.250 0.500
Bi1 0.000 0.000 0.000
I5 0.261 0.261 0.478
Zn1 0.500 0.500 0.000
Cs2 0.250 0.750 0.500
I6 0.255 0.255 0.000
```



# ZrNp3In3Se8

A relaxed ZrNp3In3Se8 crystal (PBE-GGA, Alexandria via LeMat-Bulk).

Computed properties:
ΔE_f (raw) in meV per atom: -950
Crystal system: monoclinic
Fermi-level density of states in states/eV per atom: 1.988
Space group: No. 12

Geometry as CIF:
```
data_ZrNp3In3Se8
_cell_length_a 8.164
_cell_length_b 8.166
_cell_length_c 9.100
_cell_angle_alpha 116.68
_cell_angle_beta 90.00
_cell_angle_gamma 120.00
_space_group_name_H-M_alt 'P 1'
_space_group_IT_number 1
loop_
_space_group_symop_operation_xyz
'x,y,z'
loop_
_atom_site_label
_atom_site_fract_x
_atom_site_fract_y
_atom_site_fract_z
Se1 0.263 0.525 0.289
Np1 0.500 0.500 0.500
Se2 0.228 0.455 0.705
In1 0.000 0.500 0.000
Se3 0.750 0.977 0.704
In2 0.000 0.000 0.000
Np2 0.000 0.500 0.500
Se4 0.228 0.978 0.705
Zr1 0.000 0.000 0.500
Se5 0.250 0.023 0.296
Se6 0.772 0.545 0.295
Se7 0.737 0.475 0.711
Se8 0.772 0.022 0.295
Np3 0.500 0.000 0.500
In3 0.500 0.500 0.000
```